# 1
Below is a PBEsol-optimized structure of YGa4Ni, with properties calculated at the meta-GGA SCAN level.

Unit cell a=4.048 b=6.474 c=7.813 alpha=90.00 beta=105.01 gamma=90.00
Sites, in units of the cell vectors:
1 Y 0.381 0.750 0.762
2 Y 0.619 0.250 0.238
3 Ga 0.000 0.000 0.000
4 Ga 0.000 0.500 0.000
5 Ga 0.571 0.750 0.141
6 Ga 0.429 0.250 0.859
7 Ga 0.186 0.949 0.371
8 Ga 0.814 0.051 0.629
9 Ga 0.186 0.551 0.371
10 Ga 0.814 0.449 0.629
11 Ni 0.724 0.750 0.448
12 Ni 0.276 0.250 0.552

Computed properties:
- space group = Cmcm (63)
- magnetization (μB/f.u.) = 0.00
- energy of formation from the pure elements (eV/atom) = -0.626



# 2
Below is a PBEsol-optimized structure of YGa2Ni3, with properties calculated at the meta-GGA SCAN level.

Unit cell a=3.760 b=5.150 c=5.150 alpha=120.00 beta=90.00 gamma=90.00
Sites, in units of the cell vectors:
1 Y 0.000 0.000 0.000
2 Ni 0.500 0.500 0.000
3 Ni 0.500 0.500 0.500
4 Ni 0.500 0.000 0.500
5 Ga 0.000 0.333 0.667
6 Ga 0.000 0.667 0.333

Computed properties:
- space group = P6/mmm (191)
- magnetization (μB/f.u.) = 0.00
- energy of formation from the pure elements (eV/atom) = -0.614